Material: Mn2SiOs
Method: DFT, GGA-PBE
State: optimized geometry

Unit cell a=8.160 b=8.160 c=8.160 alpha=18.99 beta=18.99 gamma=18.99
Fractional positions:
Mn  0.000  0.000  0.000
Mn  0.253  0.253  0.253
Si  0.746  0.746  0.746
Os  0.499  0.499  0.499

- Formation energy from raw total energies: 0.018 eV per atom
- Magnetic moment: 0.3 μB/f.u.
- DFT total energy: -34.92 eV per cell